First-principles (PBE) data for an optimized crystal structure of NpAlZn2Ga4, as listed in Alexandria via LeMat-Bulk.

The structure belongs to space group R-3m (No. 166, hexagonal axes); the cell edges are 4.4821, 4.4821 and 26.0835 Å and the angles 90.00°, 90.00° and 120.00°. The distinct sites, in fractional coordinates, are Np at (0.0000, 0.0000, 0.0000), Al at (0.0000, 0.0000, 0.5000), Zn at (0.0000, 0.0000, 0.2702), Ga at (0.0000, 0.0000, 0.1263) and Ga at (0.0000, 0.0000, 0.3971).

The calculated density comes out at 7.4 g cm⁻³. For the density of states at the Fermi level, the calculation gives 1.755 states/eV per atom.

***

First-principles (PBE) data for an optimized crystal structure of NpAlZnGa, as listed in Alexandria via LeMat-Bulk.

The structure belongs to space group F-43m (No. 216); the cell edges are 6.702, 6.702 and 6.702 Å and the angles 90.00°, 90.00° and 90.00°. The distinct sites, in fractional coordinates, are Np at (0.000, 0.000, 0.000), Al at (0.000, 0.000, 0.500), Zn at (0.250, 0.250, 0.750) and Ga at (0.250, 0.250, 0.250).

The calculated density comes out at 8.8 g cm⁻³. For the density of states at the Fermi level, the calculation gives 2.161 states/eV per atom.

***

Number 1: calculated formation energy 0.000 eV per atom, electronic total energy -3.917 eV per atom, total moment 4.12 μB/f.u.. Number 2: calculated formation energy 0.008 eV per atom, electronic total energy -5.238 eV per atom, total moment 3.80 μB/f.u..